This record from Alexandria via LeMat-Bulk describes crystalline Ho3Mg3Cd at its relaxed geometry. The functional is GGA-PBE.

Values from the calculation:
DOS(E_F): 0.861 states/eV/atom
VASP energy: -2.783 eV/atom
space group: C2/m (12)
magnetic moment: 0.4 μB/f.u.
energy relative to the elements: -0.007 eV/atom

Cell lengths 7.510, 7.510, 6.898 Å; angles 90.03, 90.03, 88.62 degrees
Element x y z (fractional)
1 Ho 0.000 0.000 0.749
2 Ho 0.499 0.001 0.246
3 Ho 0.001 0.499 0.246
4 Ho 0.501 0.999 0.754
5 Ho 0.999 0.501 0.754
6 Ho 0.000 0.000 0.251
7 Mg 0.282 0.282 0.502
8 Mg 0.290 0.710 0.500
9 Mg 0.710 0.290 0.500
10 Mg 0.328 0.672 0.000
11 Mg 0.672 0.328 0.000
12 Mg 0.718 0.718 0.498
13 Cd 0.264 0.264 0.999
14 Cd 0.736 0.736 0.001

***

This record from Alexandria via LeMat-Bulk describes crystalline SrFeGeB2 at its relaxed geometry. The functional is GGA-PBE.

Values from the calculation:
DOS(E_F): 1.000 states/eV/atom
VASP energy: -2.947 eV/atom
space group: P4/mmm (123)
magnetic moment: 2.9 μB/f.u.
energy relative to the elements: 2.676 eV/atom

Cell lengths 4.710, 4.710, 5.520 Å; angles 90.00, 90.00, 90.00 degrees
Element x y z (fractional)
1 Sr 0.000 0.000 0.000
2 Ge 0.000 0.000 0.500
3 B 0.000 0.500 0.000
4 B 0.500 0.000 0.000
5 Fe 0.500 0.500 0.500

***

This record from Alexandria via LeMat-Bulk describes crystalline YHo2Ni at its relaxed geometry. The functional is GGA-PBE.

Values from the calculation:
DOS(E_F): 1.412 states/eV/atom
VASP energy: -5.572 eV/atom
space group: Cmcm (63)
magnetic moment: 0.0 μB/f.u.
energy relative to the elements: -0.221 eV/atom

Cell lengths 3.650, 6.238, 9.457 Å; angles 90.00, 90.00, 106.99 degrees
Element x y z (fractional)
1 Y 0.921 0.843 0.250
2 Y 0.079 0.157 0.750
3 Ho 0.362 0.725 0.570
4 Ho 0.638 0.275 0.430
5 Ho 0.362 0.725 0.930
6 Ho 0.638 0.275 0.070
7 Ni 0.765 0.530 0.750
8 Ni 0.235 0.470 0.250

***

This record from Alexandria via LeMat-Bulk describes crystalline LaMnFeSi2 at its relaxed geometry. The functional is GGA-PBE.

Values from the calculation:
DOS(E_F): 0.456 states/eV/atom
VASP energy: -7.251 eV/atom
space group: I-4m2 (119)
magnetic moment: 2.7 μB/f.u.

Cell lengths 5.934, 5.934, 5.934 Å; angles 140.51, 140.51, 57.08 degrees
Element x y z (fractional)
1 La 0.000 0.000 0.000
2 Mn 0.250 0.750 0.500
3 Fe 0.750 0.250 0.500
4 Si 0.631 0.631 0.000
5 Si 0.369 0.369 0.000

***

This record from Alexandria via LeMat-Bulk describes crystalline Nd3UIn3Te8 at its relaxed geometry. The functional is GGA-PBE.

Values from the calculation:
DOS(E_F): 0.370 states/eV/atom
VASP energy: -4.839 eV/atom
space group: R-3m (166)
magnetic moment: 2.0 μB/f.u.

Cell lengths 8.964, 8.964, 9.651 Å; angles 117.68, 90.00, 120.00 degrees
Element x y z (fractional)
1 Nd 0.500 0.000 0.500
2 Nd 0.500 0.500 0.500
3 Nd 0.000 0.500 0.500
4 U 0.000 0.000 0.500
5 In 0.000 0.000 0.000
6 In 0.000 0.500 0.000
7 In 0.500 0.500 0.000
8 Te 0.257 0.515 0.272
9 Te 0.743 0.485 0.728
10 Te 0.765 0.530 0.279
11 Te 0.235 0.470 0.721
12 Te 0.765 0.014 0.279
13 Te 0.235 0.986 0.721
14 Te 0.249 0.014 0.279
15 Te 0.751 0.986 0.721

***

This record from Alexandria via LeMat-Bulk describes crystalline Pr2BiPtO5 at its relaxed geometry. The functional is GGA-PBE.

Values from the calculation:
DOS(E_F): 0.377 states/eV/atom
VASP energy: -6.823 eV/atom
space group: P4/mbm (127)
magnetic moment: 0.0 μB/f.u.

Cell lengths 5.841, 6.912, 6.912 Å; angles 90.00, 90.00, 90.00 degrees
Element x y z (fractional)
1 Pr 0.500 0.673 0.173
2 Pr 0.500 0.173 0.327
3 Pr 0.500 0.827 0.673
4 Pr 0.500 0.327 0.827
5 Bi 0.000 0.500 0.500
6 Bi 0.000 0.000 0.000
7 Pt 0.000 0.000 0.500
8 Pt 0.000 0.500 0.000
9 O 0.500 0.500 0.500
10 O 0.500 0.000 0.000
11 O 0.255 0.139 0.639
12 O 0.255 0.861 0.361
13 O 0.255 0.361 0.139
14 O 0.255 0.639 0.861
15 O 0.745 0.139 0.639
16 O 0.745 0.639 0.861
17 O 0.745 0.861 0.361
18 O 0.745 0.361 0.139

***

This record from Alexandria via LeMat-Bulk describes crystalline TcTe3 at its relaxed geometry. The functional is GGA-PBE.

Values from the calculation:
DOS(E_F): 0.970 states/eV/atom
VASP energy: -4.394 eV/atom
space group: Im-3m (229)
magnetic moment: 0.7 μB/f.u.

Cell lengths 5.081, 5.081, 5.081 Å; angles 109.49, 109.49, 109.49 degrees
Element x y z (fractional)
1 Tc 0.000 0.000 0.000
2 Te 0.500 0.000 0.500
3 Te 0.500 0.500 0.000
4 Te 0.000 0.500 0.500

***

This record from Alexandria via LeMat-Bulk describes crystalline NbBiH2 at its relaxed geometry. The functional is GGA-PBE.

Values from the calculation:
DOS(E_F): 0.704 states/eV/atom
VASP energy: -4.210 eV/atom
space group: Fm-3m (225)
magnetic moment: 1.7 μB/f.u.

Cell lengths 4.255, 4.255, 4.255 Å; angles 60.00, 60.00, 60.00 degrees
Element x y z (fractional)
1 H 0.250 0.250 0.250
2 H 0.750 0.750 0.750
3 Nb 0.000 0.000 0.000
4 Bi 0.500 0.500 0.500

***

This record from Alexandria via LeMat-Bulk describes crystalline Mo3AsCl at its relaxed geometry. The functional is GGA-PBE.

Values from the calculation:
DOS(E_F): 1.211 states/eV/atom
VASP energy: -6.633 eV/atom
space group: Pm-3m (221)
magnetic moment: 0.5 μB/f.u.

Cell lengths 4.446, 4.446, 4.446 Å; angles 90.00, 90.00, 90.00 degrees
Element x y z (fractional)
1 Mo 0.000 0.500 0.000
2 Mo 0.000 0.000 0.500
3 Mo 0.500 0.000 0.000
4 As 0.500 0.500 0.500
5 Cl 0.000 0.000 0.000

***

This record from Alexandria via LeMat-Bulk describes crystalline HoLu2Pt at its relaxed geometry. The functional is GGA-PBE.

Values from the calculation:
DOS(E_F): 1.549 states/eV/atom
VASP energy: -5.433 eV/atom
space group: R-3m (166)
magnetic moment: 0.0 μB/f.u.
energy relative to the elements: -0.518 eV/atom

Cell lengths 3.771, 3.771, 9.502 Å; angles 78.56, 78.56, 60.00 degrees
Element x y z (fractional)
1 Lu 0.272 0.272 0.183
2 Lu 0.728 0.728 0.817
3 Ho 0.500 0.500 0.500
4 Pt 0.000 0.000 0.000

***

This record from Alexandria via LeMat-Bulk describes crystalline Ce2HoPb3 at its relaxed geometry. The functional is GGA-PBE.

Values from the calculation:
DOS(E_F): 1.261 states/eV/atom
VASP energy: -4.898 eV/atom
space group: C2/c (15)
magnetic moment: 0.2 μB/f.u.
energy relative to the elements: -0.303 eV/atom

Cell lengths 6.382, 9.166, 7.725 Å; angles 107.26, 114.40, 90.00 degrees
Element x y z (fractional)
1 Ce 0.667 0.583 0.334
2 Ce 0.667 0.083 0.334
3 Ce 0.333 0.917 0.666
4 Ce 0.333 0.417 0.666
5 Ho 0.999 0.750 0.000
6 Ho 0.001 0.250 0.000
7 Pb 0.501 0.250 0.000
8 Pb 0.499 0.750 0.000
9 Pb 0.167 0.083 0.333
10 Pb 0.834 0.417 0.667
11 Pb 0.166 0.583 0.333
12 Pb 0.833 0.917 0.667

***

This record from Alexandria via LeMat-Bulk describes crystalline BeBiIr3 at its relaxed geometry. The functional is GGA-PBE.

Values from the calculation:
DOS(E_F): 0.965 states/eV/atom
VASP energy: -6.460 eV/atom
space group: Pm-3m (221)
magnetic moment: 0.0 μB/f.u.
energy relative to the elements: 0.378 eV/atom

Cell lengths 4.314, 4.314, 4.314 Å; angles 90.00, 90.00, 90.00 degrees
Element x y z (fractional)
1 Be 0.000 0.000 0.000
2 Ir 0.000 0.500 0.000
3 Ir 0.000 0.000 0.500
4 Ir 0.500 0.000 0.000
5 Bi 0.500 0.500 0.500

***

Which value of DOS(E_F) does entry 8 give?
0.704 states/eV/atom